Computed, not measured: SnSIN2 at its PBEsol-relaxed geometry at the SCAN level of DFT.

The structure in CIF format:
```
data_SnSIN2
_cell_length_a 4.064
_cell_length_b 4.064
_cell_length_c 5.199
_cell_angle_alpha 90.00
_cell_angle_beta 90.00
_cell_angle_gamma 90.00
_space_group_name_H-M_alt 'P 4/m m m'
_space_group_IT_number 123
_space_group_name_Hall '-P 4 2'
loop_
_atom_site_label
_atom_site_fract_x
_atom_site_fract_y
_atom_site_fract_z
_atom_site_occupancy
Sn1 0.000 0.000 0.000 1
S1 0.500 0.500 0.500 1
I1 0.500 0.500 0.000 1
N1 0.000 0.500 0.500 1
```

Output
- formation energy (no corrections) (eV/atom) = 1.86
- excess energy over the best structure of this formula in the dataset (meV per atom) = 567.7
- uncorrected energy (eV per atom) = -18.319
- density of states at the Fermi level (states/eV/atom) = 0.387